Entry 1:
GdTm: relaxed, PBE.

abc: 6.8726 6.8726 6.8726
angles: 90.00 90.00 90.00
Closest atoms and distances in Å follow each position.
Element x y z (fractional)
Gd (0.0000, 0.0000, 0.0000)  4 Tm 2.98
Gd (0.0000, 0.5000, 0.5000)  4 Tm 2.98
Gd (0.5000, 0.0000, 0.5000)  4 Tm 2.98
Gd (0.5000, 0.5000, 0.0000)  4 Tm 2.98
Tm (0.2500, 0.2500, 0.7500)  4 Gd 2.98
Tm (0.2500, 0.7500, 0.2500)  4 Gd 2.98
Tm (0.7500, 0.2500, 0.2500)  4 Gd 2.98
Tm (0.7500, 0.7500, 0.7500)  4 Gd 2.98

Excess energy over the best structure of this formula in the dataset in meV per atom: 1905
Raw total energy in eV per atom: -2.645
Formation enthalpy at 0 K in kJ/mol of atoms: 185

***

Entry 2:
DyHoNb: relaxed, PBE.

abc: 7.1363 7.1363 7.1363
angles: 90.00 90.00 90.00
Closest atoms and distances in Å follow each position.
Element x y z (fractional)
Dy (0.0000, 0.0000, 0.0000)  4 Nb 3.09
Dy (0.0000, 0.5000, 0.5000)  4 Nb 3.09
Dy (0.5000, 0.0000, 0.5000)  4 Nb 3.09
Dy (0.5000, 0.5000, 0.0000)  4 Nb 3.09
Ho (0.0000, 0.0000, 0.5000)  4 Nb 3.09
Ho (0.0000, 0.5000, 0.0000)  4 Nb 3.09
Ho (0.5000, 0.0000, 0.0000)  4 Nb 3.09
Ho (0.5000, 0.5000, 0.5000)  4 Nb 3.09
Nb (0.2500, 0.2500, 0.2500)  4 Dy 3.09, 4 Ho 3.09
Nb (0.2500, 0.7500, 0.7500)  4 Dy 3.09, 4 Ho 3.09
Nb (0.7500, 0.2500, 0.7500)  4 Dy 3.09, 4 Ho 3.09
Nb (0.7500, 0.7500, 0.2500)  4 Dy 3.09, 4 Ho 3.09

Excess energy over the best structure of this formula in the dataset in meV per atom: 0
Raw total energy in eV per atom: -5.631
Formation enthalpy at 0 K in kJ/mol of atoms: 77